Record 1
# KTaSi3, relaxed, DFT PBE
data_KTaSi3
_chemical_formula_sum 'K1 Ta1 Si3'
_symmetry_space_group_name_H-M 'P m -3 m'
_symmetry_Int_Tables_number 221
_symmetry_space_group_name_Hall '-P 4 2 3'
_cell_length_a 4.969
_cell_length_b 4.969
_cell_length_c 4.969
_cell_angle_alpha 90.00
_cell_angle_beta 90.00
_cell_angle_gamma 90.00
loop_
_atom_site_label
_atom_site_fract_x
_atom_site_fract_y
_atom_site_fract_z
K1 0.000 0.000 0.000
Ta1 0.500 0.500 0.500
Si1 0.000 0.500 0.500
# distance to the lowest polymorph of the same formula = 0.0 meV/atom


Record 2
# KTa4Si, relaxed, DFT PBE
data_KTa4Si
_chemical_formula_sum 'K4 Ta16 Si4'
_symmetry_space_group_name_H-M 'F -4 3 m'
_symmetry_Int_Tables_number 216
_symmetry_space_group_name_Hall 'F -4 2 3'
_cell_length_a 7.977
_cell_length_b 7.977
_cell_length_c 7.977
_cell_angle_alpha 90.00
_cell_angle_beta 90.00
_cell_angle_gamma 90.00
loop_
_atom_site_label
_atom_site_fract_x
_atom_site_fract_y
_atom_site_fract_z
K1 0.000 0.000 0.000
Ta1 0.128 0.128 0.372
Si1 0.250 0.250 0.750
# final energy = -7.889 eV/atom


Record 3
# KTaSi2, relaxed, DFT PBE
data_KTaSi2
_chemical_formula_sum 'K2 Ta2 Si4'
_symmetry_space_group_name_H-M 'C 1 2/m 1'
_symmetry_Int_Tables_number 12
_cell_length_a 8.692
_cell_length_b 3.367
_cell_length_c 6.925
_cell_angle_alpha 90.00
_cell_angle_beta 103.03
_cell_angle_gamma 90.00
loop_
_symmetry_equiv_pos_as_xyz
'x,y,z'
'-x,-y,-z'
'-x,y,-z'
'x,-y,z'
'x+1/2,y+1/2,z'
'-x+1/2,-y+1/2,-z'
'-x+1/2,y+1/2,-z'
'x+1/2,-y+1/2,z'
loop_
_atom_site_label
_atom_site_fract_x
_atom_site_fract_y
_atom_site_fract_z
K1 0.000 0.000 0.000
Ta1 0.000 0.500 0.500
Si1 0.231 0.000 0.620
# distance to the lowest polymorph of the same formula = 83.9 meV/atom


| no. | density of states at the Fermi level (states/eV/f.u.) | size of the total moment (μB per formula unit) |
| --- | --- | --- |
| 1 | 1.91 | 0.00 |
| 2 | 4.87 | 0.00 |
| 3 | 1.77 | 0.48 |